1.
# InMo3P3 PBE-GGA relaxed
# Crystal system: hexagonal
# Excess energy over the best structure of this formula in the dataset (meV/atom): 0.0
# DOS(E_F) (states/eV per cell): 7.7
data_InMo3P3
_chemical_formula_sum 'In2 Mo6 P6'
_symmetry_space_group_name_H-M 'P 63/m'
_symmetry_Int_Tables_number 176
_symmetry_space_group_name_Hall '-P 6c'
_cell_length_a 7.9562
_cell_length_b 7.9562
_cell_length_c 4.4942
_cell_angle_alpha 90.00
_cell_angle_beta 90.00
_cell_angle_gamma 120.00
loop_
_atom_site_label
_atom_site_type_symbol
_atom_site_fract_x
_atom_site_fract_y
_atom_site_fract_z
_atom_site_occupancy
In1 In 0.3333 0.6667 0.2500 1
Mo1 Mo 0.0686 0.2392 0.2500 1
P1 P 0.1076 0.3987 0.7500 1


2.
# InMo2P PBE-GGA relaxed
# Crystal system: tetragonal
# Excess energy over the best structure of this formula in the dataset (meV/atom): 520.1
# DOS(E_F) (states/eV per cell): 7.6
data_InMo2P
_chemical_formula_sum 'In2 Mo4 P2'
_symmetry_space_group_name_H-M 'I -4 m 2'
_symmetry_Int_Tables_number 119
_symmetry_space_group_name_Hall 'I -4 -2'
_cell_length_a 3.925
_cell_length_b 3.925
_cell_length_c 8.470
_cell_angle_alpha 90.00
_cell_angle_beta 90.00
_cell_angle_gamma 90.00
loop_
_atom_site_label
_atom_site_type_symbol
_atom_site_fract_x
_atom_site_fract_y
_atom_site_fract_z
_atom_site_occupancy
In1 In 0.000 0.000 0.000 1
Mo1 Mo 0.000 0.000 0.500 1
Mo2 Mo 0.000 0.500 0.750 1
P1 P 0.000 0.500 0.250 1


3.
# InMo3P3 PBE-GGA relaxed
# Crystal system: hexagonal
# Excess energy over the best structure of this formula in the dataset (meV/atom): 78.1
# DOS(E_F) (states/eV per cell): 6.5
data_InMo3P3
_chemical_formula_sum 'In2 Mo6 P6'
_symmetry_space_group_name_H-M 'P 63/m'
_symmetry_Int_Tables_number 176
_symmetry_space_group_name_Hall '-P 6c'
_cell_length_a 9.2943
_cell_length_b 9.2943
_cell_length_c 4.4681
_cell_angle_alpha 90.00
_cell_angle_beta 90.00
_cell_angle_gamma 120.00
loop_
_atom_site_label
_atom_site_type_symbol
_atom_site_fract_x
_atom_site_fract_y
_atom_site_fract_z
_atom_site_occupancy
In1 In 0.3333 0.6667 0.2500 1
Mo1 Mo 0.1020 0.2048 0.7500 1
P1 P 0.1751 0.3519 0.2500 1


4.
# In3MoP PBE-GGA relaxed
# Crystal system: cubic
# Excess energy over the best structure of this formula in the dataset (meV/atom): 0.0
# DOS(E_F) (states/eV per cell): 3.0
data_In3MoP
_chemical_formula_sum 'In3 Mo1 P1'
_symmetry_space_group_name_H-M 'P m -3 m'
_symmetry_Int_Tables_number 221
_symmetry_space_group_name_Hall '-P 4 2 3'
_cell_length_a 5.323
_cell_length_b 5.323
_cell_length_c 5.323
_cell_angle_alpha 90.00
_cell_angle_beta 90.00
_cell_angle_gamma 90.00
loop_
_atom_site_label
_atom_site_type_symbol
_atom_site_fract_x
_atom_site_fract_y
_atom_site_fract_z
_atom_site_occupancy
In1 In 0.000 0.000 0.500 1
Mo1 Mo 0.000 0.000 0.000 1
P1 P 0.500 0.500 0.500 1


5.
# InMo2P PBE-GGA relaxed
# Crystal system: tetragonal
# Excess energy over the best structure of this formula in the dataset (meV/atom): 458.9
# DOS(E_F) (states/eV per cell): 4.2
data_InMo2P
_chemical_formula_sum 'In1 Mo2 P1'
_symmetry_space_group_name_H-M 'P 4/m m m'
_symmetry_Int_Tables_number 123
_symmetry_space_group_name_Hall '-P 4 2'
_cell_length_a 4.451
_cell_length_b 4.451
_cell_length_c 3.231
_cell_angle_alpha 90.00
_cell_angle_beta 90.00
_cell_angle_gamma 90.00
loop_
_atom_site_label
_atom_site_type_symbol
_atom_site_fract_x
_atom_site_fract_y
_atom_site_fract_z
_atom_site_occupancy
In1 In 0.000 0.000 0.000 1
Mo1 Mo 0.000 0.500 0.500 1
P1 P 0.500 0.500 0.000 1


6.
# InMo2P PBE-GGA relaxed
# Crystal system: orthorhombic
# Excess energy over the best structure of this formula in the dataset (meV/atom): 365.5
# DOS(E_F) (states/eV per cell): 6.8
data_InMo2P
_chemical_formula_sum 'In2 Mo4 P2'
_symmetry_space_group_name_H-M 'C m m 2'
_symmetry_Int_Tables_number 35
_symmetry_space_group_name_Hall 'C 2 -2'
_cell_length_a 3.294
_cell_length_b 4.645
_cell_length_c 9.635
_cell_angle_alpha 90.00
_cell_angle_beta 90.00
_cell_angle_gamma 90.00
loop_
_atom_site_label
_atom_site_type_symbol
_atom_site_fract_x
_atom_site_fract_y
_atom_site_fract_z
_atom_site_occupancy
In1 In 0.000 0.000 0.000 1
Mo1 Mo 0.000 0.000 0.477 1
Mo2 Mo 0.000 0.500 0.256 1
P1 P 0.000 0.500 0.666 1


7.
# In2Mo2P PBE-GGA relaxed
# Crystal system: tetragonal
# DOS(E_F) (states/eV per cell): 7.5
data_In2Mo2P
_chemical_formula_sum 'In4 Mo4 P2'
_symmetry_space_group_name_H-M 'P 4/m b m'
_symmetry_Int_Tables_number 127
_symmetry_space_group_name_Hall '-P 4 2ab'
_cell_length_a 6.288
_cell_length_b 6.288
_cell_length_c 4.677
_cell_angle_alpha 90.00
_cell_angle_beta 90.00
_cell_angle_gamma 90.00
loop_
_atom_site_label
_atom_site_type_symbol
_atom_site_fract_x
_atom_site_fract_y
_atom_site_fract_z
_atom_site_occupancy
In1 In 0.167 0.333 0.000 1
Mo1 Mo 0.148 0.648 0.500 1
P1 P 0.000 0.000 0.500 1


8.
# InMo2P PBE-GGA relaxed
# Crystal system: tetragonal
# Excess energy over the best structure of this formula in the dataset (meV/atom): 18.3
# DOS(E_F) (states/eV per cell): 3.2
data_InMo2P
_chemical_formula_sum 'In1 Mo2 P1'
_symmetry_space_group_name_H-M 'P 4/m m m'
_symmetry_Int_Tables_number 123
_symmetry_space_group_name_Hall '-P 4 2'
_cell_length_a 3.045
_cell_length_b 3.045
_cell_length_c 7.038
_cell_angle_alpha 90.00
_cell_angle_beta 90.00
_cell_angle_gamma 90.00
loop_
_atom_site_label
_atom_site_type_symbol
_atom_site_fract_x
_atom_site_fract_y
_atom_site_fract_z
_atom_site_occupancy
In1 In 0.000 0.000 0.000 1
Mo1 Mo 0.500 0.500 0.311 1
P1 P 0.000 0.000 0.500 1


9.
# InMo2P PBE-GGA relaxed
# Crystal system: orthorhombic
# Excess energy over the best structure of this formula in the dataset (meV/atom): 75.6
# DOS(E_F) (states/eV per cell): 6.4
data_InMo2P
_chemical_formula_sum 'In2 Mo4 P2'
_symmetry_space_group_name_H-M 'I m m 2'
_symmetry_Int_Tables_number 44
_symmetry_space_group_name_Hall 'I 2 -2'
_cell_length_a 3.065
_cell_length_b 3.347
_cell_length_c 13.902
_cell_angle_alpha 90.00
_cell_angle_beta 90.00
_cell_angle_gamma 90.00
loop_
_atom_site_label
_atom_site_type_symbol
_atom_site_fract_x
_atom_site_fract_y
_atom_site_fract_z
_atom_site_occupancy
In1 In 0.000 0.000 0.000 1
Mo1 Mo 0.000 0.000 0.361 1
Mo2 Mo 0.000 0.500 0.680 1
P1 P 0.000 0.500 0.240 1


10.
# In3MoP PBE-GGA relaxed
# Crystal system: cubic
# Excess energy over the best structure of this formula in the dataset (meV/atom): 47.6
# DOS(E_F) (states/eV per cell): 3.1
data_In3MoP
_chemical_formula_sum 'In3 Mo1 P1'
_symmetry_space_group_name_H-M 'P m -3 m'
_symmetry_Int_Tables_number 221
_symmetry_space_group_name_Hall '-P 4 2 3'
_cell_length_a 5.153
_cell_length_b 5.153
_cell_length_c 5.153
_cell_angle_alpha 90.00
_cell_angle_beta 90.00
_cell_angle_gamma 90.00
loop_
_atom_site_label
_atom_site_type_symbol
_atom_site_fract_x
_atom_site_fract_y
_atom_site_fract_z
_atom_site_occupancy
In1 In 0.000 0.000 0.500 1
Mo1 Mo 0.500 0.500 0.500 1
P1 P 0.000 0.000 0.000 1


11.
# InMo2P PBE-GGA relaxed
# Crystal system: orthorhombic
# Excess energy over the best structure of this formula in the dataset (meV/atom): 532.6
# DOS(E_F) (states/eV per cell): 4.0
data_InMo2P
_chemical_formula_sum 'In1 Mo2 P1'
_symmetry_space_group_name_H-M 'P m m m'
_symmetry_Int_Tables_number 47
_symmetry_space_group_name_Hall '-P 2 2'
_cell_length_a 3.327
_cell_length_b 4.289
_cell_length_c 4.656
_cell_angle_alpha 90.00
_cell_angle_beta 90.00
_cell_angle_gamma 90.00
loop_
_atom_site_label
_atom_site_type_symbol
_atom_site_fract_x
_atom_site_fract_y
_atom_site_fract_z
_atom_site_occupancy
In1 In 0.000 0.000 0.000 1
Mo1 Mo 0.000 0.500 0.500 1
Mo2 Mo 0.500 0.500 0.000 1
P1 P 0.500 0.000 0.500 1


12.
# InMo2P PBE-GGA relaxed
# Crystal system: orthorhombic
# Excess energy over the best structure of this formula in the dataset (meV/atom): 192.4
# DOS(E_F) (states/eV per cell): 3.0
data_InMo2P
_chemical_formula_sum 'In2 Mo4 P2'
_symmetry_space_group_name_H-M 'A m m 2'
_symmetry_Int_Tables_number 38
_symmetry_space_group_name_Hall 'A 2 -2'
_cell_length_a 4.515
_cell_length_b 3.086
_cell_length_c 10.034
_cell_angle_alpha 90.00
_cell_angle_beta 90.00
_cell_angle_gamma 90.00
loop_
_atom_site_label
_atom_site_type_symbol
_atom_site_fract_x
_atom_site_fract_y
_atom_site_fract_z
_atom_site_occupancy
In1 In 0.000 0.000 0.000 1
Mo1 Mo 0.000 0.000 0.265 1
Mo2 Mo 0.500 0.000 0.659 1
P1 P 0.500 0.000 0.346 1


no.,formation energy (meV per atom),DFT total energy (eV/atom)
1,-166,-7.52
2,441,-7.01
3,-88,-7.44
4,1003,-3.89
5,380,-7.07
6,287,-7.17
7,61,-6.45
8,-60,-7.51
9,-3,-7.46
10,1051,-3.84
11,454,-7.00
12,114,-7.34